# LiZn8Pd2 PBE-GGA relaxed
# * uncorrected energy: -24.6 eV/cell
# * space-group type: No. 65
# * density of states at the Fermi level: 3.5 states/eV/f.u.
data_LiZn8Pd2
_space_group_name_H-M_alt 'P 1'
_space_group_IT_number 1
_cell_length_a 6.489
_cell_length_b 6.489
_cell_length_c 4.201
_cell_angle_alpha 90.00
_cell_angle_beta 90.00
_cell_angle_gamma 105.89
loop_
_space_group_symop_operation_xyz
'x,y,z'
loop_
_atom_site_label
_atom_site_type_symbol
_atom_site_fract_x
_atom_site_fract_y
_atom_site_fract_z
Li1 Li 0.000 0.000 0.000
Zn1 Zn 0.038 0.298 0.500
Zn2 Zn 0.239 0.761 0.000
Zn3 Zn 0.298 0.038 0.500
Zn4 Zn 0.332 0.332 0.000
Zn5 Zn 0.668 0.668 0.000
Zn6 Zn 0.702 0.962 0.500
Zn7 Zn 0.761 0.239 0.000
Zn8 Zn 0.962 0.702 0.500
Pd1 Pd 0.368 0.632 0.500
Pd2 Pd 0.632 0.368 0.500

# Tb2Dy3Y6Th PBE-GGA relaxed
# * uncorrected energy: -69.0 eV/cell
# * space-group type: No. 12
# * density of states at the Fermi level: 16.6 states/eV/f.u.
data_Tb2Dy3Y6Th
_space_group_name_H-M_alt 'P 1'
_space_group_IT_number 1
_cell_length_a 6.177
_cell_length_b 6.177
_cell_length_c 11.806
_cell_angle_alpha 95.00
_cell_angle_beta 95.00
_cell_angle_gamma 119.96
loop_
_space_group_symop_operation_xyz
'x,y,z'
loop_
_atom_site_label
_atom_site_type_symbol
_atom_site_fract_x
_atom_site_fract_y
_atom_site_fract_z
Tb1 Tb 0.167 0.833 0.000
Tb2 Tb 0.833 0.167 0.000
Dy1 Dy 0.000 0.000 0.500
Dy2 Dy 0.333 0.667 0.500
Dy3 Dy 0.667 0.333 0.500
Y1 Y 0.086 0.416 0.750
Y2 Y 0.254 0.254 0.249
Y3 Y 0.416 0.086 0.750
Y4 Y 0.584 0.914 0.250
Y5 Y 0.746 0.746 0.751
Y6 Y 0.914 0.584 0.250
Th1 Th 0.500 0.500 0.000

# Rb6IO2 PBE-GGA relaxed
# * formation energy without anion corrections: -8.3 eV/f.u.
# * space-group type: No. 12
# * excess energy over the best structure of this formula in the dataset: 22 meV per atom
# * density of states at the Fermi level: 2.2 states/eV/f.u.
data_Rb6IO2
_space_group_name_H-M_alt 'P 1'
_space_group_IT_number 1
_cell_length_a 8.808
_cell_length_b 8.808
_cell_length_c 10.617
_cell_angle_alpha 101.90
_cell_angle_beta 101.90
_cell_angle_gamma 37.76
loop_
_space_group_symop_operation_xyz
'x,y,z'
loop_
_atom_site_label
_atom_site_type_symbol
_atom_site_fract_x
_atom_site_fract_y
_atom_site_fract_z
Rb1 Rb 0.095 0.095 0.201
Rb2 Rb 0.259 0.259 0.908
Rb3 Rb 0.366 0.366 0.340
Rb4 Rb 0.634 0.634 0.660
Rb5 Rb 0.741 0.741 0.092
Rb6 Rb 0.905 0.905 0.799
I1 I 0.000 0.000 0.500
O1 O 0.239 0.239 0.157
O2 O 0.761 0.761 0.843

# Zr4ZnCo PBE-GGA relaxed
# * space-group type: No. 216
# * excess energy over the best structure of this formula in the dataset: 797 meV per atom
# * density of states at the Fermi level: 7.3 states/eV/f.u.
data_Zr4ZnCo
_space_group_name_H-M_alt 'P 1'
_space_group_IT_number 1
_cell_length_a 5.623
_cell_length_b 5.623
_cell_length_c 5.623
_cell_angle_alpha 60.00
_cell_angle_beta 60.00
_cell_angle_gamma 60.00
loop_
_space_group_symop_operation_xyz
'x,y,z'
loop_
_atom_site_label
_atom_site_type_symbol
_atom_site_fract_x
_atom_site_fract_y
_atom_site_fract_z
Zr1 Zr 0.124 0.124 0.124
Zr2 Zr 0.124 0.124 0.627
Zr3 Zr 0.124 0.627 0.124
Zr4 Zr 0.627 0.124 0.124
Zn1 Zn 0.500 0.500 0.500
Co1 Co 0.750 0.750 0.750

# Ce6Al2Hg PBE-GGA relaxed
# * space-group type: No. 191
# * excess energy over the best structure of this formula in the dataset: 0 meV per atom
# * density of states at the Fermi level: 21.2 states/eV/f.u.
data_Ce6Al2Hg
_space_group_name_H-M_alt 'P 1'
_space_group_IT_number 1
_cell_length_a 8.989
_cell_length_b 8.989
_cell_length_c 2.973
_cell_angle_alpha 90.00
_cell_angle_beta 90.00
_cell_angle_gamma 120.00
loop_
_space_group_symop_operation_xyz
'x,y,z'
loop_
_atom_site_label
_atom_site_type_symbol
_atom_site_fract_x
_atom_site_fract_y
_atom_site_fract_z
Ce1 Ce 0.000 0.345 0.000
Ce2 Ce 0.000 0.655 0.000
Ce3 Ce 0.345 0.000 0.000
Ce4 Ce 0.345 0.345 0.000
Ce5 Ce 0.655 0.000 0.000
Ce6 Ce 0.655 0.655 0.000
Al1 Al 0.333 0.667 0.500
Al2 Al 0.667 0.333 0.500
Hg1 Hg 0.000 0.000 0.500

# Ac2ZnIn2Rh5 PBE-GGA relaxed
# * uncorrected energy: -109.7 eV/cell
# * space-group type: No. 127
# * density of states at the Fermi level: 6.4 states/eV/f.u.
data_Ac2ZnIn2Rh5
_space_group_name_H-M_alt 'P 1'
_space_group_IT_number 1
_cell_length_a 10.609
_cell_length_b 10.609
_cell_length_c 3.626
_cell_angle_alpha 90.00
_cell_angle_beta 90.00
_cell_angle_gamma 90.00
loop_
_space_group_symop_operation_xyz
'x,y,z'
loop_
_atom_site_label
_atom_site_type_symbol
_atom_site_fract_x
_atom_site_fract_y
_atom_site_fract_z
Ac1 Ac 0.172 0.328 0.000
Ac2 Ac 0.328 0.828 0.000
Ac3 Ac 0.672 0.172 0.000
Ac4 Ac 0.828 0.672 0.000
Zn1 Zn 0.000 0.000 0.000
Zn2 Zn 0.500 0.500 0.000
In1 In 0.129 0.629 0.000
In2 In 0.371 0.129 0.000
In3 In 0.629 0.871 0.000
In4 In 0.871 0.371 0.000
Rh1 Rh 0.000 0.500 0.500
Rh2 Rh 0.052 0.807 0.500
Rh3 Rh 0.193 0.052 0.500
Rh4 Rh 0.307 0.552 0.500
Rh5 Rh 0.448 0.307 0.500
Rh6 Rh 0.500 0.000 0.500
Rh7 Rh 0.552 0.693 0.500
Rh8 Rh 0.693 0.448 0.500
Rh9 Rh 0.807 0.948 0.500
Rh10 Rh 0.948 0.193 0.500

# SrMgTa2 PBE-GGA relaxed
# * uncorrected energy: -23.4 eV/cell
# * space-group type: No. 47
# * density of states at the Fermi level: 4.8 states/eV/f.u.
data_SrMgTa2
_space_group_name_H-M_alt 'P 1'
_space_group_IT_number 1
_cell_length_a 2.855
_cell_length_b 5.198
_cell_length_c 6.055
_cell_angle_alpha 90.00
_cell_angle_beta 90.00
_cell_angle_gamma 90.00
loop_
_space_group_symop_operation_xyz
'x,y,z'
loop_
_atom_site_label
_atom_site_type_symbol
_atom_site_fract_x
_atom_site_fract_y
_atom_site_fract_z
Sr1 Sr 0.000 0.000 0.000
Mg1 Mg 0.000 0.000 0.500
Ta1 Ta 0.500 0.500 0.258
Ta2 Ta 0.500 0.500 0.742

# CsCa2H6 PBE-GGA relaxed
# * uncorrected energy: -19.8 eV/cell
# * space-group type: No. 225
# * density of states at the Fermi level: 2.2 states/eV/f.u.
data_CsCa2H6
_space_group_name_H-M_alt 'P 1'
_space_group_IT_number 1
_cell_length_a 5.706
_cell_length_b 5.706
_cell_length_c 5.706
_cell_angle_alpha 60.00
_cell_angle_beta 60.00
_cell_angle_gamma 60.00
loop_
_space_group_symop_operation_xyz
'x,y,z'
loop_
_atom_site_label
_atom_site_type_symbol
_atom_site_fract_x
_atom_site_fract_y
_atom_site_fract_z
Cs1 Cs 0.000 0.000 0.000
Ca1 Ca 0.250 0.250 0.250
Ca2 Ca 0.750 0.750 0.750
H1 H 0.315 0.315 0.685
H2 H 0.315 0.685 0.315
H3 H 0.315 0.685 0.685
H4 H 0.685 0.315 0.315
H5 H 0.685 0.315 0.685
H6 H 0.685 0.685 0.315

# Zr2PtAuS PBE-GGA relaxed
# * formation energy without anion corrections: 1.1 eV/f.u.
# * space-group type: No. 123
# * excess energy over the best structure of this formula in the dataset: 0 meV per atom
# * density of states at the Fermi level: 3.5 states/eV/f.u.
data_Zr2PtAuS
_space_group_name_H-M_alt 'P 1'
_space_group_IT_number 1
_cell_length_a 5.058
_cell_length_b 5.058
_cell_length_c 4.994
_cell_angle_alpha 90.00
_cell_angle_beta 90.00
_cell_angle_gamma 90.00
loop_
_space_group_symop_operation_xyz
'x,y,z'
loop_
_atom_site_label
_atom_site_type_symbol
_atom_site_fract_x
_atom_site_fract_y
_atom_site_fract_z
Zr1 Zr 0.000 0.500 0.000
Zr2 Zr 0.500 0.000 0.000
Pt1 Pt 0.000 0.000 0.000
Au1 Au 0.000 0.000 0.500
S1 S 0.500 0.500 0.500

# Tb2DyPb PBE-GGA relaxed
# * space-group type: No. 123
# * excess energy over the best structure of this formula in the dataset: 0 meV per atom
# * density of states at the Fermi level: 4.6 states/eV/f.u.
data_Tb2DyPb
_space_group_name_H-M_alt 'P 1'
_space_group_IT_number 1
_cell_length_a 4.860
_cell_length_b 4.860
_cell_length_c 4.867
_cell_angle_alpha 90.00
_cell_angle_beta 90.00
_cell_angle_gamma 90.00
loop_
_space_group_symop_operation_xyz
'x,y,z'
loop_
_atom_site_label
_atom_site_type_symbol
_atom_site_fract_x
_atom_site_fract_y
_atom_site_fract_z
Tb1 Tb 0.000 0.500 0.000
Tb2 Tb 0.500 0.000 0.000
Dy1 Dy 0.000 0.000 0.500
Pb1 Pb 0.500 0.500 0.500

# Ce3Tl PBE-GGA relaxed
# * uncorrected energy: -81.7 eV/cell
# * space-group type: No. 12
# * density of states at the Fermi level: 12.3 states/eV/f.u.
data_Ce3Tl
_space_group_name_H-M_alt 'P 1'
_space_group_IT_number 1
_cell_length_a 8.958
_cell_length_b 8.786
_cell_length_c 5.950
_cell_angle_alpha 90.00
_cell_angle_beta 105.21
_cell_angle_gamma 90.00
loop_
_space_group_symop_operation_xyz
'x,y,z'
loop_
_atom_site_label
_atom_site_type_symbol
_atom_site_fract_x
_atom_site_fract_y
_atom_site_fract_z
Ce1 Ce 0.017 0.000 0.226
Ce2 Ce 0.151 0.305 0.803
Ce3 Ce 0.151 0.695 0.803
Ce4 Ce 0.349 0.195 0.197
Ce5 Ce 0.349 0.805 0.197
Ce6 Ce 0.483 0.500 0.774
Ce7 Ce 0.517 0.500 0.226
Ce8 Ce 0.651 0.195 0.803
Ce9 Ce 0.651 0.805 0.803
Ce10 Ce 0.849 0.305 0.197
Ce11 Ce 0.849 0.695 0.197
Ce12 Ce 0.983 0.000 0.774
Tl1 Tl 0.170 0.500 0.316
Tl2 Tl 0.330 0.000 0.684
Tl3 Tl 0.670 0.000 0.316
Tl4 Tl 0.830 0.500 0.684

# Sm7Hg3N2 PBE-GGA relaxed
# * formation energy without anion corrections: -9.0 eV/f.u.
# * space-group type: No. 65
# * density of states at the Fermi level: 5.5 states/eV/f.u.
data_Sm7Hg3N2
_space_group_name_H-M_alt 'P 1'
_space_group_IT_number 1
_cell_length_a 12.235
_cell_length_b 12.235
_cell_length_c 4.922
_cell_angle_alpha 90.00
_cell_angle_beta 90.00
_cell_angle_gamma 156.60
loop_
_space_group_symop_operation_xyz
'x,y,z'
loop_
_atom_site_label
_atom_site_type_symbol
_atom_site_fract_x
_atom_site_fract_y
_atom_site_fract_z
Sm1 Sm 0.000 0.000 0.000
Sm2 Sm 0.101 0.899 0.500
Sm3 Sm 0.203 0.797 0.000
Sm4 Sm 0.400 0.600 0.000
Sm5 Sm 0.600 0.400 0.000
Sm6 Sm 0.797 0.203 0.000
Sm7 Sm 0.899 0.101 0.500
Hg1 Hg 0.301 0.699 0.500
Hg2 Hg 0.500 0.500 0.500
Hg3 Hg 0.699 0.301 0.500
N1 N 0.104 0.896 0.000
N2 N 0.896 0.104 0.000